The following is a PBE calculation of a relaxed K2RhF2 crystal, from Alexandria.

```
K2RhF2
1.0
7.289 0.000 0.000
0.000 7.289 0.000
0.000 0.000 3.451
K Rh F
4 2 4
direct
0.149 0.351 0.000
0.351 0.851 0.000
0.649 0.149 0.000
0.851 0.649 0.000
0.000 0.000 0.500
0.500 0.500 0.500
0.159 0.659 0.500
0.341 0.159 0.500
0.659 0.841 0.500
0.841 0.341 0.500
```

Results
energy	-3.92	eV/atom
space-group type	No. 127
density	3.969	g/cm³
Fermi-level density of states	5.77	states/eV/cell
formation energy without anion corrections	-122.0	kJ/mol of atoms

The following is a PBE calculation of a relaxed Zr6Fe2Pb crystal, from Alexandria.

```
Zr6Fe2Pb
1.0
-4.311 4.635 4.671
4.311 -4.635 4.671
4.311 4.635 -4.671
Zr Fe Pb
12 4 2
direct
0.020 0.239 0.781
0.198 0.285 0.483
0.198 0.715 0.913
0.314 0.008 0.694
0.314 0.621 0.306
0.458 0.239 0.219
0.542 0.761 0.781
0.686 0.379 0.694
0.686 0.992 0.306
0.802 0.285 0.087
0.802 0.715 0.517
0.980 0.761 0.219
0.114 0.614 0.500
0.352 0.000 0.352
0.648 0.000 0.648
0.886 0.386 0.500
0.000 0.000 0.000
0.500 0.500 0.000
```

Results
energy	-8.09	eV/atom
space-group type	No. 71
density	7.705	g/cm³
Fermi-level density of states	21.24	states/eV/cell

The following is a PBE calculation of a relaxed PmHo2Al6 crystal, from Alexandria.

```
PmHo2Al6
1.0
7.927 0.000 0.000
-3.964 6.865 0.000
0.000 0.000 3.513
Pm Ho Al
1 2 6
direct
0.000 0.000 0.000
0.333 0.667 0.000
0.667 0.333 0.000
0.000 0.335 0.500
0.000 0.665 0.500
0.335 0.000 0.500
0.335 0.335 0.500
0.665 0.000 0.500
0.665 0.665 0.500
```

Results
energy	-4.53	eV/atom
space-group type	No. 191
density	5.531	g/cm³
Fermi-level density of states	2.16	states/eV/cell

The following is a PBE calculation of a relaxed TaCd3As crystal, from Alexandria.

```
TaCd3As
1.0
5.370 0.000 0.000
0.000 5.370 0.000
0.000 0.000 5.370
Ta Cd As
1 3 1
direct
0.000 0.000 0.000
0.000 0.000 0.500
0.000 0.500 0.000
0.500 0.000 0.000
0.500 0.500 0.500
```

Results
energy	-2.52	eV/atom
space-group type	No. 221
density	6.361	g/cm³
Fermi-level density of states	2.39	states/eV/cell